Material: NaBH8O2
Method: DFT, PBE
State: optimized geometry

* E: -4.42 eV/atom

Lattice parameters (Å, degrees): 6.872 10.393 11.985 90.00 90.00 90.00
Positions (direct):
Na1 0.041 0.171 0.990
Na2 0.541 0.829 0.510
Na3 0.459 0.671 0.010
Na4 0.959 0.329 0.490
Na5 0.959 0.829 0.010
Na6 0.459 0.171 0.490
Na7 0.541 0.329 0.990
Na8 0.041 0.671 0.510
B1 0.897 0.384 0.851
B2 0.397 0.616 0.649
B3 0.603 0.884 0.149
B4 0.103 0.116 0.351
B5 0.103 0.616 0.149
B6 0.603 0.384 0.351
B7 0.397 0.116 0.851
B8 0.897 0.884 0.649
H1 0.731 0.380 0.814
H2 0.231 0.620 0.686
H3 0.769 0.880 0.186
H4 0.269 0.120 0.314
H5 0.269 0.620 0.186
H6 0.769 0.380 0.314
H7 0.231 0.120 0.814
H8 0.731 0.880 0.686
H9 0.973 0.487 0.823
H10 0.473 0.513 0.677
H11 0.527 0.987 0.177
H12 0.027 0.013 0.323
H13 0.027 0.513 0.177
H14 0.527 0.487 0.323
H15 0.473 0.013 0.823
H16 0.973 0.987 0.677
H17 0.106 0.509 0.316
H18 0.606 0.491 0.184
H19 0.394 0.009 0.684
H20 0.894 0.991 0.816
H21 0.894 0.491 0.684
H22 0.394 0.509 0.816
H23 0.606 0.991 0.316
H24 0.106 0.009 0.184
H25 0.993 0.796 0.688
H26 0.787 0.524 0.113
H27 0.213 0.976 0.613
H28 0.713 0.024 0.887
H29 0.713 0.524 0.613
H30 0.213 0.476 0.887
H31 0.787 0.024 0.387
H32 0.287 0.976 0.113
H33 0.993 0.296 0.812
H34 0.493 0.704 0.688
H35 0.507 0.796 0.188
H36 0.007 0.204 0.312
H37 0.007 0.704 0.188
H38 0.507 0.296 0.312
H39 0.493 0.204 0.812
H40 0.895 0.881 0.547
H41 0.751 0.734 0.319
H42 0.251 0.266 0.181
H43 0.749 0.234 0.681
H44 0.249 0.766 0.819
H45 0.249 0.266 0.681
H46 0.749 0.734 0.819
H47 0.251 0.766 0.319
H48 0.751 0.234 0.181
H49 0.681 0.607 0.375
H50 0.181 0.393 0.125
H51 0.819 0.107 0.625
H52 0.319 0.893 0.875
H53 0.319 0.393 0.625
H54 0.819 0.607 0.875
H55 0.181 0.893 0.375
H56 0.681 0.107 0.125
H57 0.895 0.381 0.953
H58 0.395 0.619 0.547
H59 0.605 0.881 0.047
H60 0.105 0.119 0.453
H61 0.105 0.619 0.047
H62 0.605 0.381 0.453
H63 0.395 0.119 0.953
H64 0.287 0.476 0.387
O1 0.741 0.191 0.108
O2 0.241 0.809 0.392
O3 0.759 0.691 0.892
O4 0.259 0.309 0.608
O5 0.259 0.809 0.892
O6 0.759 0.191 0.608
O7 0.241 0.309 0.108
O8 0.741 0.691 0.392
O9 0.146 0.990 0.107
O10 0.646 0.010 0.393
O11 0.354 0.490 0.893
O12 0.854 0.510 0.607
O13 0.854 0.010 0.893
O14 0.354 0.990 0.607
O15 0.646 0.510 0.107
O16 0.146 0.490 0.393

---

Material: NaB3H4O7
Method: DFT, PBE
State: optimized geometry

* E: -6.51 eV/atom

Lattice parameters (Å, degrees): 6.479 9.896 10.489 118.15 102.08 90.00
Positions (direct):
Na1 0.397 0.585 0.653
Na2 0.103 0.932 0.347
Na3 0.603 0.415 0.347
Na4 0.897 0.068 0.653
B1 0.065 0.489 0.320
B2 0.435 0.169 0.680
B3 0.935 0.511 0.680
B4 0.565 0.831 0.320
B5 0.015 0.198 0.195
B6 0.485 0.003 0.805
B7 0.985 0.802 0.805
B8 0.515 0.997 0.195
B9 0.016 0.325 0.044
B10 0.484 0.281 0.956
B11 0.984 0.675 0.956
B12 0.516 0.719 0.044
H1 0.990 0.387 0.882
H2 0.510 0.506 0.118
H3 0.010 0.613 0.118
H4 0.490 0.494 0.882
H5 0.332 0.637 0.393
H6 0.168 0.245 0.607
H7 0.668 0.363 0.607
H8 0.832 0.755 0.393
H9 0.953 0.630 0.501
H10 0.547 0.129 0.499
H11 0.047 0.370 0.499
H12 0.453 0.871 0.501
H13 0.988 0.971 0.103
H14 0.512 0.869 0.897
H15 0.012 0.029 0.897
H16 0.488 0.131 0.103
O1 0.997 0.297 0.900
O2 0.503 0.397 0.100
O3 0.003 0.703 0.100
O4 0.497 0.603 0.900
O5 0.288 0.544 0.400
O6 0.212 0.145 0.600
O7 0.712 0.456 0.600
O8 0.788 0.855 0.400
O9 0.914 0.592 0.392
O10 0.586 0.200 0.608
O11 0.086 0.408 0.608
O12 0.414 0.800 0.392
O13 0.000 0.064 0.202
O14 0.500 0.862 0.798
O15 0.000 0.936 0.798
O16 0.500 0.138 0.202
O17 0.020 0.191 0.058
O18 0.480 0.132 0.942
O19 0.980 0.809 0.942
O20 0.520 0.868 0.058
O21 0.018 0.337 0.316
O22 0.482 0.021 0.684
O23 0.982 0.663 0.684
O24 0.518 0.979 0.316
O25 0.026 0.466 0.164
O26 0.474 0.302 0.836
O27 0.974 0.534 0.836
O28 0.526 0.698 0.164

---

Material: NaB5H4O10
Method: DFT, PBE
State: optimized geometry

* E: -6.91 eV/atom

Lattice parameters (Å, degrees): 8.124 8.704 13.283 105.67 90.00 90.00
Positions (direct):
Na1 0.736 0.082 0.740
Na2 0.236 0.918 0.760
Na3 0.264 0.918 0.260
Na4 0.764 0.082 0.240
B1 0.095 0.286 0.813
B2 0.595 0.714 0.687
B3 0.905 0.714 0.187
B4 0.405 0.286 0.313
B5 0.318 0.457 0.897
B6 0.818 0.543 0.603
B7 0.682 0.543 0.103
B8 0.182 0.457 0.397
B9 0.221 0.237 0.969
B10 0.721 0.763 0.531
B11 0.779 0.763 0.031
B12 0.279 0.237 0.469
B13 0.062 0.228 0.127
B14 0.562 0.772 0.373
B15 0.938 0.772 0.873
B16 0.438 0.228 0.627
B17 0.284 0.041 0.072
B18 0.784 0.959 0.428
B19 0.716 0.959 0.928
B20 0.216 0.041 0.572
H1 0.888 0.380 0.191
H2 0.388 0.620 0.309
H3 0.112 0.620 0.809
H4 0.612 0.380 0.691
H5 0.484 0.903 0.059
H6 0.984 0.097 0.441
H7 0.516 0.097 0.941
H8 0.016 0.903 0.559
H9 0.953 0.325 0.697
H10 0.453 0.675 0.803
H11 0.047 0.675 0.303
H12 0.547 0.325 0.197
H13 0.511 0.599 0.948
H14 0.011 0.401 0.552
H15 0.489 0.401 0.052
H16 0.989 0.599 0.448
O1 0.186 0.428 0.826
O2 0.686 0.572 0.674
O3 0.814 0.572 0.174
O4 0.314 0.428 0.326
O5 0.340 0.366 0.965
O6 0.840 0.634 0.535
O7 0.660 0.634 0.035
O8 0.160 0.366 0.465
O9 0.137 0.179 0.867
O10 0.637 0.821 0.633
O11 0.863 0.821 0.133
O12 0.363 0.179 0.367
O13 0.318 0.103 0.989
O14 0.818 0.897 0.511
O15 0.682 0.897 0.011
O16 0.182 0.103 0.489
O17 0.100 0.300 0.051
O18 0.600 0.700 0.449
O19 0.900 0.700 0.949
O20 0.400 0.300 0.551
O21 0.151 0.096 0.138
O22 0.651 0.904 0.362
O23 0.849 0.904 0.862
O24 0.349 0.096 0.638
O25 0.935 0.278 0.197
O26 0.435 0.722 0.303
O27 0.065 0.722 0.803
O28 0.565 0.278 0.697
O29 0.376 0.925 0.096
O30 0.876 0.075 0.404
O31 0.624 0.075 0.904
O32 0.124 0.925 0.596
O33 0.968 0.251 0.742
O34 0.468 0.749 0.758
O35 0.032 0.749 0.258
O36 0.532 0.251 0.242
O37 0.421 0.580 0.894
O38 0.921 0.420 0.606
O39 0.579 0.420 0.106
O40 0.079 0.580 0.394

---

Material: Na2B5H3O10
Method: DFT, PBE
State: optimized geometry

* E: -6.88 eV/atom

Lattice parameters (Å, degrees): 6.645 11.321 21.030 85.79 90.00 90.00
Positions (direct):
Na1 0.995 0.939 0.725
Na2 0.495 0.061 0.775
Na3 0.005 0.061 0.275
Na4 0.505 0.939 0.225
Na5 0.606 0.562 0.765
Na6 0.106 0.438 0.735
Na7 0.394 0.438 0.235
Na8 0.894 0.562 0.265
Na9 0.063 0.846 0.540
Na10 0.563 0.154 0.960
Na11 0.937 0.154 0.460
Na12 0.437 0.846 0.040
Na13 0.347 0.529 0.593
Na14 0.847 0.471 0.907
Na15 0.653 0.471 0.407
Na16 0.153 0.529 0.093
B1 0.277 0.739 0.664
B2 0.777 0.261 0.836
B3 0.723 0.261 0.336
B4 0.223 0.739 0.164
B5 0.632 0.795 0.670
B6 0.132 0.205 0.830
B7 0.368 0.205 0.330
B8 0.868 0.795 0.170
B9 0.377 0.955 0.645
B10 0.877 0.045 0.855
B11 0.623 0.045 0.355
B12 0.123 0.955 0.145
B13 0.339 0.107 0.552
B14 0.839 0.893 0.948
B15 0.661 0.893 0.448
B16 0.161 0.107 0.052
B17 0.212 0.159 0.659
B18 0.712 0.841 0.841
B19 0.788 0.841 0.341
B20 0.288 0.159 0.159
B21 0.499 0.294 0.682
B22 0.999 0.706 0.818
B23 0.501 0.706 0.318
B24 0.001 0.294 0.182
B25 0.851 0.239 0.671
B26 0.351 0.761 0.829
B27 0.149 0.761 0.329
B28 0.649 0.239 0.171
B29 0.751 0.451 0.645
B30 0.251 0.549 0.855
B31 0.249 0.549 0.355
B32 0.749 0.451 0.145
B33 0.808 0.582 0.545
B34 0.308 0.418 0.955
B35 0.192 0.418 0.455
B36 0.692 0.582 0.045
B37 0.920 0.654 0.650
B38 0.420 0.346 0.850
B39 0.080 0.346 0.350
B40 0.580 0.654 0.150
H1 0.302 0.637 0.478
H2 0.802 0.363 0.022
H3 0.698 0.363 0.522
H4 0.198 0.637 0.978
H5 0.439 0.735 0.507
H6 0.939 0.265 0.993
H7 0.561 0.265 0.493
H8 0.061 0.735 0.007
H9 0.754 0.997 0.584
H10 0.254 0.003 0.916
H11 0.246 0.003 0.416
H12 0.746 0.997 0.084
H13 0.933 0.076 0.599
H14 0.433 0.924 0.901
H15 0.066 0.924 0.402
H16 0.566 0.076 0.098
H17 0.467 0.090 0.467
H18 0.968 0.910 0.033
H19 0.533 0.910 0.533
H20 0.033 0.090 0.967
H21 0.812 0.675 0.459
H22 0.312 0.325 0.042
H23 0.189 0.325 0.542
H24 0.689 0.675 0.958
O1 0.141 0.648 0.668
O2 0.641 0.352 0.832
O3 0.859 0.352 0.332
O4 0.359 0.648 0.168
O5 0.479 0.707 0.676
O6 0.979 0.293 0.824
O7 0.521 0.293 0.324
O8 0.021 0.707 0.176
O9 0.830 0.764 0.671
O10 0.330 0.236 0.829
O11 0.170 0.236 0.329
O12 0.670 0.764 0.171
O13 0.228 0.854 0.647
O14 0.728 0.146 0.853
O15 0.772 0.146 0.353
O16 0.272 0.854 0.147
O17 0.579 0.912 0.665
O18 0.079 0.088 0.835
O19 0.421 0.088 0.335
O20 0.921 0.912 0.165
O21 0.303 0.047 0.682
O22 0.803 0.953 0.818
O23 0.697 0.953 0.318
O24 0.197 0.047 0.182
O25 0.397 0.996 0.575
O26 0.897 0.004 0.925
O27 0.603 0.004 0.425
O28 0.103 0.996 0.075
O29 0.233 0.182 0.588
O30 0.733 0.818 0.912
O31 0.767 0.818 0.412
O32 0.267 0.182 0.088
O33 0.385 0.148 0.490
O34 0.885 0.852 0.010
O35 0.615 0.852 0.510
O36 0.115 0.148 0.990
O37 0.991 0.149 0.674
O38 0.491 0.851 0.826
O39 0.009 0.851 0.326
O40 0.509 0.149 0.174
O41 0.301 0.262 0.688
O42 0.801 0.738 0.812
O43 0.699 0.738 0.312
O44 0.199 0.262 0.188
O45 0.652 0.208 0.687
O46 0.152 0.792 0.813
O47 0.348 0.792 0.313
O48 0.848 0.208 0.187
O49 0.548 0.412 0.671
O50 0.048 0.588 0.829
O51 0.452 0.588 0.329
O52 0.952 0.412 0.171
O53 0.899 0.353 0.652
O54 0.399 0.647 0.848
O55 0.101 0.647 0.348
O56 0.601 0.353 0.152
O57 0.826 0.548 0.679
O58 0.326 0.452 0.821
O59 0.174 0.452 0.321
O60 0.674 0.548 0.179
O61 0.718 0.483 0.575
O62 0.218 0.517 0.925
O63 0.282 0.517 0.425
O64 0.782 0.483 0.075
O65 0.784 0.596 0.480
O66 0.284 0.404 0.020
O67 0.216 0.404 0.520
O68 0.716 0.596 0.980
O69 0.910 0.662 0.579
O70 0.410 0.338 0.921
O71 0.090 0.338 0.422
O72 0.590 0.662 0.078
O73 0.314 0.689 0.514
O74 0.814 0.311 0.986
O75 0.686 0.311 0.486
O76 0.186 0.689 0.014
O77 0.877 0.031 0.564
O78 0.377 0.969 0.936
O79 0.122 0.969 0.436
O80 0.622 0.031 0.064

---

Summary of N(E_F) in states/eV per atom
0.00; 0.00; 0.00; 0.00
(order as listed above)